Record 1
The following is a DFT calculation (PBE-GGA) of a relaxed structure of KSc3Os.

Output
Size of the total moment: 0.00 μB/f.u.
E_form: 94 meV per atom
Theoretical density: 4.29 g/cm³
ΔE to the lowest computed polymorph: 0.0 meV/atom

POSCAR file:
```
KSc3Os
1.0
5.203 0.000 0.000
0.000 5.203 0.000
0.000 0.000 5.203
K Sc Os
1 3 1
direct
0.000 0.000 0.000
0.000 0.500 0.500
0.500 0.000 0.500
0.500 0.500 0.000
0.500 0.500 0.500
```

***

Record 2
The following is a DFT calculation (PBE-GGA) of a relaxed structure of KScOs2.

Output
Size of the total moment: 0.25 μB/f.u.
E_form: 1060 meV per atom
Theoretical density: 10.46 g/cm³
ΔE to the lowest computed polymorph: 561.2 meV/atom

POSCAR file:
```
KScOs2
1.0
5.817 0.000 0.000
0.000 9.725 0.000
0.000 0.000 2.606
K Sc Os
2 2 4
direct
0.000 0.000 0.000
0.500 0.500 0.000
0.000 0.500 0.000
0.500 0.000 0.000
0.250 0.250 0.500
0.250 0.750 0.500
0.750 0.250 0.500
0.750 0.750 0.500
```

***

Record 3
The following is a DFT calculation (PBE-GGA) of a relaxed structure of KScOs2.

Output
Size of the total moment: 0.39 μB/f.u.
E_form: 745 meV per atom
Theoretical density: 8.07 g/cm³
ΔE to the lowest computed polymorph: 246.4 meV/atom

POSCAR file:
```
KScOs2
1.0
9.299 0.000 0.000
0.000 2.887 0.000
-0.610 0.000 7.123
K Sc Os
2 2 4
direct
0.000 0.000 0.000
0.500 0.500 0.000
0.000 0.500 0.500
0.500 0.000 0.500
0.233 0.000 0.644
0.267 0.500 0.356
0.733 0.500 0.644
0.767 0.000 0.356
```

***

Record 4
The following is a DFT calculation (PBE-GGA) of a relaxed structure of K2ScOs.

Output
Size of the total moment: 0.00 μB/f.u.
E_form: 579 meV per atom
Theoretical density: 3.56 g/cm³
ΔE to the lowest computed polymorph: 129.0 meV/atom

POSCAR file:
```
K2ScOs
1.0
9.136 0.000 0.000
0.000 3.149 0.000
-2.308 0.000 10.156
K Sc Os
4 2 2
direct
0.000 0.000 0.000
0.149 0.000 0.596
0.500 0.500 0.000
0.649 0.500 0.596
0.322 0.500 0.298
0.822 0.000 0.298
0.043 0.500 0.298
0.543 0.000 0.298
```

***

Record 5
The following is a DFT calculation (PBE-GGA) of a relaxed structure of KScOs2.

Output
Size of the total moment: 0.00 μB/f.u.
E_form: 574 meV per atom
Theoretical density: 10.56 g/cm³
ΔE to the lowest computed polymorph: 76.1 meV/atom

POSCAR file:
```
KScOs2
1.0
3.081 0.000 0.000
0.000 4.730 0.000
0.000 0.000 10.020
K Sc Os
2 2 4
direct
0.000 0.000 0.000
0.500 0.500 0.000
0.000 0.000 0.500
0.500 0.500 0.500
0.000 0.500 0.284
0.000 0.500 0.716
0.500 0.000 0.284
0.500 0.000 0.716
```

***

Record 6
The following is a DFT calculation (PBE-GGA) of a relaxed structure of K2ScOs.

Output
Size of the total moment: 0.18 μB/f.u.
E_form: 450 meV per atom
Theoretical density: 3.75 g/cm³
ΔE to the lowest computed polymorph: 0.0 meV/atom

POSCAR file:
```
K2ScOs
1.0
21.026 0.000 0.000
0.000 3.148 0.000
-0.851 0.000 4.197
K Sc Os
4 2 2
direct
0.150 0.000 0.148
0.350 0.500 0.852
0.650 0.500 0.148
0.850 0.000 0.852
0.000 0.000 0.500
0.500 0.500 0.500
0.000 0.500 0.000
0.500 0.000 0.000
```

***

Record 7
The following is a DFT calculation (PBE-GGA) of a relaxed structure of K2ScOs.

Output
Size of the total moment: 0.26 μB/f.u.
E_form: 1376 meV per atom
Theoretical density: 4.30 g/cm³
ΔE to the lowest computed polymorph: 926.0 meV/atom

POSCAR file:
```
K2ScOs
1.0
4.739 0.000 0.000
0.000 4.739 0.000
0.000 0.000 5.393
K Sc Os
2 1 1
direct
0.000 0.000 0.243
0.000 0.000 0.757
0.500 0.500 0.500
0.500 0.500 0.000
```

***

Record 8
The following is a DFT calculation (PBE-GGA) of a relaxed structure of K2ScOs.

Output
Size of the total moment: 1.30 μB/f.u.
E_form: 1157 meV per atom
Theoretical density: 5.22 g/cm³
ΔE to the lowest computed polymorph: 707.1 meV/atom

POSCAR file:
```
K2ScOs
1.0
2.899 0.000 0.000
0.000 5.659 0.000
0.000 0.000 6.076
K Sc Os
2 1 1
direct
0.000 0.240 0.000
0.000 0.760 0.000
0.500 0.500 0.500
0.500 0.000 0.500
```

***

Record 9
The following is a DFT calculation (PBE-GGA) of a relaxed structure of KScOs2.

Output
Size of the total moment: 0.00 μB/f.u.
E_form: 1041 meV per atom
Theoretical density: 10.69 g/cm³
ΔE to the lowest computed polymorph: 542.9 meV/atom

POSCAR file:
```
KScOs2
1.0
6.609 0.000 0.000
0.000 6.609 0.000
0.000 0.000 6.609
K Sc Os
4 4 8
direct
0.000 0.000 0.000
0.000 0.500 0.500
0.500 0.000 0.500
0.500 0.500 0.000
0.250 0.250 0.750
0.250 0.750 0.250
0.750 0.250 0.250
0.750 0.750 0.750
0.000 0.000 0.500
0.000 0.500 0.000
0.250 0.250 0.250
0.250 0.750 0.750
0.500 0.000 0.000
0.500 0.500 0.500
0.750 0.250 0.750
0.750 0.750 0.250
```

***

Record 10
The following is a DFT calculation (PBE-GGA) of a relaxed structure of K3ScOs.

Output
Size of the total moment: 0.01 μB/f.u.
E_form: 2353 meV per atom
Theoretical density: 2.36 g/cm³

POSCAR file:
```
K3ScOs
1.0
6.280 0.000 0.000
0.000 6.280 0.000
0.000 0.000 6.280
K Sc Os
3 1 1
direct
0.000 0.000 0.500
0.000 0.500 0.000
0.500 0.000 0.000
0.000 0.000 0.000
0.500 0.500 0.500
```

***

Record 11
The following is a DFT calculation (PBE-GGA) of a relaxed structure of KScOs2.

Output
Size of the total moment: 0.00 μB/f.u.
E_form: 1095 meV per atom
Theoretical density: 7.90 g/cm³
ΔE to the lowest computed polymorph: 596.5 meV/atom

POSCAR file:
```
KScOs2
1.0
4.519 0.000 0.000
0.000 4.519 0.000
0.000 0.000 19.121
K Sc Os
4 4 8
direct
0.000 0.000 0.000
0.000 0.500 0.250
0.500 0.000 0.750
0.500 0.500 0.500
0.000 0.000 0.500
0.000 0.500 0.750
0.500 0.000 0.250
0.500 0.500 0.000
0.108 0.750 0.625
0.250 0.108 0.375
0.250 0.392 0.875
0.392 0.750 0.125
0.608 0.250 0.125
0.750 0.608 0.875
0.750 0.892 0.375
0.892 0.250 0.625
```

***

Record 12
The following is a DFT calculation (PBE-GGA) of a relaxed structure of K2ScOs.

Output
Size of the total moment: 0.17 μB/f.u.
E_form: 991 meV per atom
Theoretical density: 5.27 g/cm³
ΔE to the lowest computed polymorph: 540.9 meV/atom

POSCAR file:
```
K2ScOs
1.0
3.456 0.000 0.000
0.000 4.632 0.000
0.000 0.000 6.173
K Sc Os
2 1 1
direct
0.000 0.000 0.000
0.500 0.500 0.000
0.000 0.500 0.500
0.500 0.000 0.500
```